The following is a PBE calculation of crystalline Sm2Y6Tm at its relaxed geometry, from the Alexandria database.

a b c (Å): 12.845 14.359 6.569
angles (deg): 90.00 104.02 90.00
Space group C2/c (No. 15)
Asymmetric unit:
1 Sm 0.141 0.024 0.372 (multiplicity 8)
2 Y 0.037 0.188 0.006 (multiplicity 8)
3 Y 0.134 0.411 0.810 (multiplicity 8)
4 Y 0.240 0.199 0.726 (multiplicity 8)
5 Tm 0.000 0.383 0.250 (multiplicity 4)

Computed properties:
- Density: 5.67 Mg/m³
- Fermi-level density of states: 47.443 states/eV per cell
- Energy relative to the elements: 0.11 eV per atom
- Energy above the most stable polymorph in this dataset: 0.035 eV per atom
- Electronic total energy: -5.749 eV per atom


The following is a PBE calculation of crystalline Sm5Y3Tm4 at its relaxed geometry, from the Alexandria database.

a b c (Å): 18.158 5.686 8.704
angles (deg): 90.00 118.19 90.00
Space group C2/m (No. 12)
Asymmetric unit:
1 Sm 0.000 0.000 0.000 (multiplicity 2)
2 Sm 0.110 0.500 0.429 (multiplicity 4)
3 Sm 0.159 0.500 0.889 (multiplicity 4)
4 Y 0.000 0.500 0.000 (multiplicity 2)
5 Y 0.183 0.000 0.217 (multiplicity 4)
6 Tm 0.031 0.000 0.697 (multiplicity 4)
7 Tm 0.202 0.000 0.648 (multiplicity 4)

Computed properties:
- Density: 7.10 Mg/m³
- Fermi-level density of states: 31.143 states/eV per cell
- Energy relative to the elements: 0.27 eV per atom
- Electronic total energy: -4.806 eV per atom


The following is a PBE calculation of crystalline Sm3YTm8 at its relaxed geometry, from the Alexandria database.

a b c (Å): 6.366 11.219 11.313
angles (deg): 90.00 90.00 90.00
Space group Immm (No. 71)
Asymmetric unit:
1 Sm 0.000 0.000 0.000 (multiplicity 2)
2 Sm 0.000 0.500 0.248 (multiplicity 4)
3 Y 0.000 0.000 0.500 (multiplicity 2)
4 Tm 0.000 0.170 0.250 (multiplicity 8)
5 Tm 0.249 0.252 0.000 (multiplicity 8)

Computed properties:
- Density: 7.77 Mg/m³
- Fermi-level density of states: 35.000 states/eV per cell
- Energy relative to the elements: 0.31 eV per atom
- Electronic total energy: -4.391 eV per atom


The following is a PBE calculation of crystalline SmYTm at its relaxed geometry, from the Alexandria database.

a b c (Å): 17.301 3.590 6.218
angles (deg): 90.00 96.87 90.00
Space group C2/m (No. 12)
Asymmetric unit:
1 Sm 0.249 0.000 0.251 (multiplicity 4)
2 Y 0.082 0.000 0.859 (multiplicity 4)
3 Tm 0.082 0.500 0.362 (multiplicity 4)

Computed properties:
- Density: 7.07 Mg/m³
- Fermi-level density of states: 15.565 states/eV per cell
- Energy relative to the elements: 0.00 eV per atom
- Energy above the most stable polymorph in this dataset: 0.000 eV per atom
- Electronic total energy: -5.223 eV per atom


Here are the calculated V numbers, same order: 1176, 792, 808, 383 (Å³ per cell).